## 1
! K2BiF6 PBE-GGA optimized geometry; values from VASP
&SYSTEM
  ibrav = 0, nat = 18, ntyp = 3
/
ATOMIC_SPECIES
K 39.10 K.upf
F 19.00 F.upf
Bi 208.98 Bi.upf
ATOMIC_POSITIONS crystal
K 0.000 0.000 0.664
F 0.679 0.679 0.638
F 0.233 0.767 0.500
F 0.821 0.179 0.862
K 0.500 0.500 0.836
F 0.821 0.179 0.138
Bi 0.000 0.000 0.000
Bi 0.500 0.500 0.500
K 0.000 0.000 0.336
K 0.500 0.500 0.164
F 0.321 0.321 0.638
F 0.767 0.233 0.500
F 0.733 0.733 0.000
F 0.179 0.821 0.138
F 0.179 0.821 0.862
F 0.679 0.679 0.362
F 0.267 0.267 0.000
F 0.321 0.321 0.362
CELL_PARAMETERS angstrom
-4.024 -0.468 4.082
-4.027 -0.687 -4.048
1.667 -11.610 0.311
! Crystal system: tetragonal

## 2
! K2BiF6 PBE-GGA optimized geometry; values from VASP
&SYSTEM
  ibrav = 0, nat = 18, ntyp = 3
/
ATOMIC_SPECIES
F 19.00 F.upf
Bi 208.98 Bi.upf
K 39.10 K.upf
ATOMIC_POSITIONS crystal
F 0.166 0.112 0.695
F 0.866 0.762 0.615
F 0.735 0.176 0.543
F 0.834 0.888 0.305
F 0.235 0.324 0.043
F 0.765 0.676 0.957
F 0.334 0.612 0.805
Bi 0.500 0.500 0.000
F 0.366 0.738 0.115
Bi 0.000 0.000 0.500
F 0.666 0.388 0.195
F 0.265 0.824 0.457
F 0.634 0.262 0.885
K 0.040 0.563 0.231
K 0.960 0.437 0.769
K 0.540 0.937 0.731
K 0.460 0.063 0.269
F 0.134 0.238 0.385
CELL_PARAMETERS angstrom
-1.201 -6.403 -0.544
1.200 -0.780 6.532
-8.908 2.637 1.952
! Crystal system: monoclinic

Result of the stability comparison: 1 is the most stable of them.

## 1
! KBiF3 PBE-GGA optimized geometry; values from VASP
&SYSTEM
  ibrav = 0, nat = 5, ntyp = 3
/
ATOMIC_SPECIES
F 19.00 F.upf
Bi 208.98 Bi.upf
K 39.10 K.upf
ATOMIC_POSITIONS crystal
F 0.000 0.500 0.000
F 0.000 0.000 0.500
F 0.500 0.000 0.000
Bi 0.000 0.000 0.000
K 0.500 0.500 0.500
CELL_PARAMETERS angstrom
-2.444 -4.140 -0.307
1.595 -0.608 -4.505
3.833 -2.387 1.680
! Crystal system: cubic

## 2
! KBiF3 PBE-GGA optimized geometry; values from VASP
&SYSTEM
  ibrav = 0, nat = 5, ntyp = 3
/
ATOMIC_SPECIES
K 39.10 K.upf
F 19.00 F.upf
Bi 208.98 Bi.upf
ATOMIC_POSITIONS crystal
K 0.000 0.000 0.000
F 0.000 0.500 0.000
F 0.000 0.000 0.500
F 0.500 0.000 0.000
Bi 0.500 0.500 0.500
CELL_PARAMETERS angstrom
-2.305 -3.103 -2.543
0.247 -3.037 3.482
-4.004 1.599 1.679
! Crystal system: cubic

## 3
! KBiF3 PBE-GGA optimized geometry; values from VASP
&SYSTEM
  ibrav = 0, nat = 10, ntyp = 3
/
ATOMIC_SPECIES
F 19.00 F.upf
Bi 208.98 Bi.upf
K 39.10 K.upf
ATOMIC_POSITIONS crystal
F 0.002 0.155 0.694
F 0.686 0.606 0.365
F 0.683 0.984 0.365
Bi 0.951 0.526 0.634
F 0.244 0.239 0.921
K 0.991 0.990 0.170
K 0.697 0.771 0.889
F 0.444 0.522 0.138
Bi 0.737 0.235 0.425
F 0.006 0.777 0.694
CELL_PARAMETERS angstrom
3.458 -0.340 -0.462
1.018 7.144 1.547
-1.578 5.726 9.530
! Crystal system: triclinic

Result of the stability comparison: 3 is the most stable of them.